# 1
The following is a PBE calculation of a geometry-optimized RbTl3Bi2 structure, from the Alexandria database.

## Properties
Energy above the most stable polymorph in this dataset, meV/atom: 0
Formation energy from the elements, eV/atom: -0.1445

The structure in POSCAR format:
```
RbTl3Bi2
1.0
-4.126 -3.731 -0.907
3.398 -8.864 3.491
-1.557 -4.878 9.637
Rb Tl Bi
2 6 4
Direct
0.871 0.097 0.161 Rb
0.129 0.903 0.839 Rb
0.317 0.473 0.893 Tl
0.956 0.403 0.685 Tl
0.665 0.153 0.517 Tl
0.335 0.847 0.483 Tl
0.044 0.597 0.315 Tl
0.683 0.527 0.107 Tl
0.496 0.181 0.828 Bi
0.504 0.819 0.172 Bi
0.786 0.717 0.710 Bi
0.214 0.283 0.290 Bi
```

=====

# 2
The following is a PBE calculation of a geometry-optimized KRbBi2Pd structure, from the Alexandria database.

## Properties
Formation energy from the elements, eV/atom: -0.1779

The structure in POSCAR format:
```
KRbBi2Pd
1.0
-2.792 -4.713 0.585
2.228 -1.899 -4.667
4.608 -2.339 3.152
K Rb Bi Pd
1 1 2 1
Direct
0.000 0.000 0.500 K
0.500 0.500 0.500 Rb
0.000 0.500 0.000 Bi
0.500 0.000 0.000 Bi
0.000 0.000 0.000 Pd
```

=====

# 3
The following is a PBE calculation of a geometry-optimized DyB6W2 structure, from the Alexandria database.

## Properties
Formation energy from the elements, eV/atom: -0.3100

The structure in POSCAR format:
```
DyB6W2
1.0
-2.511 -1.018 2.204
-3.712 1.112 -3.715
2.186 -4.897 0.228
Dy B W
1 6 2
Direct
0.000 0.000 0.000 Dy
0.500 0.340 0.340 B
0.500 0.660 0.660 B
0.500 0.000 0.660 B
0.500 0.660 0.000 B
0.500 0.340 0.000 B
0.500 0.000 0.340 B
0.000 0.333 0.667 W
0.000 0.667 0.333 W
```

=====

# 4
The following is a PBE calculation of a geometry-optimized TlHgW2 structure, from the Alexandria database.

## Properties
Energy above the most stable polymorph in this dataset, meV/atom: 363
Formation energy from the elements, eV/atom: 0.9587

The structure in POSCAR format:
```
TlHgW2
1.0
-1.859 -2.153 -4.310
-3.633 -3.098 -1.968
-3.498 3.365 -1.291
Hg Tl W
1 1 2
Direct
0.750 0.750 0.750 Hg
0.250 0.250 0.250 Tl
0.000 0.000 0.994 W
0.500 0.500 0.506 W
```

=====

# 5
The following is a PBE calculation of a geometry-optimized PmCoSi structure, from the Alexandria database.

## Properties
Energy above the most stable polymorph in this dataset, meV/atom: 493
Formation energy from raw total energies, meV/atom: -207

The structure in POSCAR format:
```
PmCoSi
1.0
-4.031 0.671 1.544
-2.312 -3.344 1.598
-0.768 -0.271 4.292
Si Co Pm
1 1 1
Direct
0.500 0.500 0.500 Si
0.250 0.250 0.250 Co
0.000 0.000 0.000 Pm
```

=====

# 6
The following is a PBE calculation of a geometry-optimized CdIrAu2 structure, from the Alexandria database.

## Properties
Formation energy from the elements, eV/atom: 0.1292

The structure in POSCAR format:
```
CdIrAu2
1.0
4.095 0.000 0.000
0.000 4.128 0.000
0.000 0.000 4.128
Ir Au Cd
1 2 1
Direct
0.500 0.000 0.500 Ir
0.000 0.000 0.000 Au
0.000 0.500 0.500 Au
0.500 0.500 0.000 Cd
```

=====

| no. | spin magnetization (μB/f.u.) | calculated total energy (eV per atom) |
| --- | --- | --- |
| 1 | 0.0 | -2.78 |
| 2 | 0.0 | -3.18 |
| 3 | 0.0 | -8.15 |
| 4 | 0.0 | -6.18 |
| 5 | 0.8 | -5.97 |
| 6 | 0.0 | -3.95 |